Entry from Alexandria via LeMat-Bulk: a geometry-optimized La6Ir3N structure (GGA-PBE).

Output
total moment: 0.00 μB/f.u.
Fermi-level density of states: 13.80 states/eV/cell
raw formation energy: -754.2 meV/atom
total DFT energy (no corrections): -7.20 eV per atom
theoretical density: 8.87 g/cm3

Unit cell a=6.877 b=7.505 c=12.300 alpha=90.00 beta=122.85 gamma=90.00
Space group P2_1/c (No. 14)
Inequivalent atoms, fractional coordinates:
La (0.097, 0.190, 0.433) [4 per cell]
La (0.232, 0.669, 0.427) [4 per cell]
La (0.376, 0.054, 0.237) [4 per cell]
Ir (0.207, 0.101, 0.746) [4 per cell]
Ir (0.500, 0.000, 0.500) [2 per cell]
N (0.000, 0.000, 0.000) [2 per cell]